[1]
Below is an optimized crystal structure of Zr2MoAs, with properties calculated at the PBE level.

Lattice parameters (Å, degrees): 4.6852 4.6852 4.6852 60.00 60.00 60.00
Last column: nearest neighbours and their distance in Å.
Fractional coordinates of all 4 atoms:
As: 0.5000 0.5000 0.5000  4 Mo 2.87, 4 Zr 2.87
Zr: 0.0000 0.0000 0.0000  4 Mo 2.87, 4 Zr 2.87
Mo: 0.2500 0.2500 0.2500  4 Zr 2.87, 4 As 2.87
Zr: 0.7500 0.7500 0.7500  4 Zr 2.87, 4 As 2.87

Properties
Symmetry: No. 216
Magnetic moment, μB/cell: 0.00



[2]
Below is an optimized crystal structure of InAg3OsS4, with properties calculated at the PBE level.

Lattice parameters (Å, degrees): 6.1906 6.1906 6.1906 90.00 90.00 90.00
Last column: nearest neighbours and their distance in Å.
Fractional coordinates of all 9 atoms:
Ag: 0.5000 0.0000 0.5000  4 S 2.58
In: 0.0000 0.0000 0.0000  4 S 3.06
Ag: 0.0000 0.5000 0.5000  4 S 2.58
Os: 0.5000 0.5000 0.5000  4 S 2.30
S: 0.7142 0.2858 0.7142  1 Os 2.30
Ag: 0.5000 0.5000 0.0000  4 S 2.58
S: 0.2858 0.2858 0.2858  1 Os 2.30
S: 0.7142 0.7142 0.2858  1 Os 2.30
S: 0.2858 0.7142 0.7142  1 Os 2.30

Properties
Symmetry: No. 215
Magnetic moment, μB/cell: 0.00



[3]
Below is an optimized crystal structure of DyTm2Fe3Co6, with properties calculated at the PBE level.

Lattice parameters (Å, degrees): 8.3690 8.3690 8.3690 35.01 35.01 35.01
Last column: nearest neighbours and their distance in Å.
Fractional coordinates of all 12 atoms:
Co: 0.0799 0.5838 0.5838  3 Fe 2.42-2.46, 4 Co 2.50-2.54
Fe: 0.3336 0.3336 0.3336  6 Co 2.42-2.43
Co: 0.9201 0.4162 0.4162  3 Fe 2.42-2.46, 4 Co 2.50-2.54
Tm: 0.8590 0.8590 0.8590  9 Co 2.87-2.96, 3 Fe 2.97, 3 Tm 3.15
Co: 0.4162 0.9201 0.4162  3 Fe 2.42-2.46, 4 Co 2.50-2.54
Co: 0.5838 0.5838 0.0799  3 Fe 2.42-2.46, 4 Co 2.50-2.54
Dy: 0.0000 0.0000 0.0000  6 Fe 2.91, 12 Co 3.18
Fe: 0.6664 0.6664 0.6664  6 Co 2.42-2.43
Tm: 0.1410 0.1410 0.1410  9 Co 2.87-2.96, 3 Fe 2.97, 3 Tm 3.15
Co: 0.4162 0.4162 0.9201  3 Fe 2.42-2.46, 4 Co 2.50-2.54
Co: 0.5838 0.0799 0.5838  3 Fe 2.42-2.46, 4 Co 2.50-2.54
Fe: 0.5000 0.5000 0.5000  6 Co 2.46

Properties
Symmetry: No. 166
ΔE_f, eV per atom: -0.2119
Magnetic moment, μB/cell: 13.41



[4]
Below is an optimized crystal structure of ScTlCuPt, with properties calculated at the PBE level.

Lattice parameters (Å, degrees): 4.6542 4.6542 4.6542 60.00 60.00 60.00
Last column: nearest neighbours and their distance in Å.
Fractional coordinates of all 4 atoms:
Cu: 0.7500 0.7500 0.7500  4 Sc 2.85, 4 Tl 2.85
Sc: 0.5000 0.5000 0.5000  4 Pt 2.85, 4 Cu 2.85
Pt: 0.2500 0.2500 0.2500  4 Sc 2.85, 4 Tl 2.85
Tl: 0.0000 0.0000 0.0000  4 Pt 2.85, 4 Cu 2.85

Properties
Offset from the most stable computed form, meV per atom: 0
Symmetry: No. 216
Magnetic moment, μB/cell: 0.00



[5]
Below is an optimized crystal structure of BaCoCuMo, with properties calculated at the PBE level.

Lattice parameters (Å, degrees): 4.6630 4.6630 4.6630 60.00 60.00 60.00
Last column: nearest neighbours and their distance in Å.
Fractional coordinates of all 4 atoms:
Ba: 0.0000 0.0000 0.0000  4 Mo 2.86, 4 Cu 2.86
Mo: 0.2500 0.2500 0.2500  4 Ba 2.86, 4 Co 2.86
Co: 0.5000 0.5000 0.5000  4 Mo 2.86, 4 Cu 2.86
Cu: 0.7500 0.7500 0.7500  4 Co 2.86, 4 Ba 2.86

Properties
Offset from the most stable computed form, meV per atom: 72
Symmetry: No. 216
Magnetic moment, μB/cell: 0.00



[6]
Below is an optimized crystal structure of Ta2Tc2O5, with properties calculated at the PBE level.

Lattice parameters (Å, degrees): 8.7543 3.2819 3.2819 90.00 90.00 90.00
Last column: nearest neighbours and their distance in Å.
Fractional coordinates of all 9 atoms:
O: 0.5000 0.5000 0.5000  8 O 2.29, 4 Ta 2.32
Tc: 0.1765 0.5000 0.5000  4 O 2.05
Ta: 0.5000 0.0000 0.0000  12 O 2.29-2.32
O: 0.6823 0.0000 0.5000  2 Tc 2.05, 2 Ta 2.29, 2 O 2.29
Tc: 0.8235 0.5000 0.5000  4 O 2.05
O: 0.3177 0.0000 0.5000  2 Tc 2.05, 2 O 2.29, 2 Ta 2.29
O: 0.3177 0.5000 0.0000  2 Tc 2.05, 2 O 2.29, 2 Ta 2.29
Ta: 0.0000 0.0000 0.0000  8 Tc 2.79
O: 0.6823 0.5000 0.0000  2 Tc 2.05, 2 Ta 2.29, 2 O 2.29

Properties
Offset from the most stable computed form, meV per atom: 142
Symmetry: No. 123
Magnetic moment, μB/cell: 0.00



[7]
Below is an optimized crystal structure of Zn5B, with properties calculated at the PBE level.

Lattice parameters (Å, degrees): 4.9809 4.9809 4.4161 90.00 90.00 120.00
Last column: nearest neighbours and their distance in Å.
Fractional coordinates of all 6 atoms:
Zn: 0.3333 0.6667 0.0000  9 Zn 2.63-2.88, 3 B 2.88
Zn: 0.6667 0.3333 0.0000  9 Zn 2.63-2.88, 3 B 2.88
Zn: 0.0000 0.5000 0.5000  8 Zn 2.49-2.63
Zn: 0.5000 0.0000 0.5000  8 Zn 2.49-2.63
Zn: 0.5000 0.5000 0.5000  8 Zn 2.49-2.63
B: 0.0000 0.0000 0.0000  6 Zn 2.88

Properties
Offset from the most stable computed form, meV per atom: 270
Symmetry: No. 191



[8]
Below is an optimized crystal structure of ErBiPt, with properties calculated at the PBE level.

Lattice parameters (Å, degrees): 7.6364 7.6364 4.1478 90.00 90.00 120.00
Last column: nearest neighbours and their distance in Å.
Fractional coordinates of all 9 atoms:
Bi: 0.7309 0.7309 0.0000  4 Pt 2.82-2.92
Bi: 0.0000 0.2691 0.0000  4 Pt 2.82-2.92
Er: 0.0000 0.6046 0.5000  5 Pt 3.02-3.13, 6 Bi 3.30-3.38
Er: 0.6046 0.0000 0.5000  5 Pt 3.02-3.13, 6 Bi 3.30-3.38
Pt: 0.3333 0.6667 0.0000  3 Bi 2.82, 6 Er 3.13
Pt: 0.6667 0.3333 0.0000  3 Bi 2.82, 6 Er 3.13
Bi: 0.2691 0.0000 0.0000  4 Pt 2.82-2.92
Er: 0.3954 0.3954 0.5000  5 Pt 3.02-3.13, 6 Bi 3.30-3.38
Pt: 0.0000 0.0000 0.5000  6 Bi 2.92, 3 Er 3.02

Properties
Symmetry: No. 189
Magnetic moment, μB/cell: 0.00



[9]
Below is an optimized crystal structure of ZrHCl, with properties calculated at the PBE level.

Lattice parameters (Å, degrees): 3.3270 3.3270 9.8986 90.00 90.00 120.00
Last column: nearest neighbours and their distance in Å.
Fractional coordinates of all 6 atoms:
H: 0.6667 0.3333 0.5638  4 Zr 2.10-2.11, 3 H 2.30
Cl: 0.0000 0.0000 0.8275  3 Zr 2.61
Zr: 0.6667 0.3333 0.3508  4 H 2.10-2.11
Cl: 0.0000 0.0000 0.1725  3 Zr 2.61
Zr: 0.3333 0.6667 0.6492  4 H 2.10-2.11
H: 0.3333 0.6667 0.4362  4 Zr 2.10-2.11, 3 H 2.30

Properties
Symmetry: No. 164
Magnetic moment, μB/cell: 0.01



[10]
Below is an optimized crystal structure of NbAl2Au2, with properties calculated at the PBE level.

Lattice parameters (Å, degrees): 3.9414 3.9414 6.3333 108.13 108.13 90.00
Last column: nearest neighbours and their distance in Å.
Fractional coordinates of all 5 atoms:
Au: 0.7500 0.2500 0.5000  4 Al 2.57, 4 Au 2.79
Nb: 0.0000 0.0000 0.0000  8 Al 3.03
Au: 0.2500 0.7500 0.5000  4 Al 2.57, 4 Au 2.79
Al: 0.3952 0.3952 0.7904  1 Al 2.38, 4 Au 2.57
Al: 0.6048 0.6048 0.2096  1 Al 2.38, 4 Au 2.57

Properties
Offset from the most stable computed form, meV per atom: 0
Symmetry: No. 139
Magnetic moment, μB/cell: 0.02



[11]
Below is an optimized crystal structure of Sc4Tl3Mo2N3, with properties calculated at the PBE level.

Lattice parameters (Å, degrees): 5.6457 5.6457 14.5187 100.80 100.80 60.42
Last column: nearest neighbours and their distance in Å.
Fractional coordinates of all 24 atoms:
Sc: 0.0252 0.1966 0.0831  3 N 2.20-2.22
Tl: 0.5853 0.7301 0.7506  4 Sc 3.04-3.07, 6 Tl 3.07-3.37, 2 Mo 3.10-3.11
Mo: 0.6368 0.4778 0.9305  3 N 2.15-2.16
N: 0.0000 0.5000 0.0000  2 Mo 2.16, 4 Sc 2.21-2.22
Sc: 0.6943 0.8582 0.0831  3 N 2.19-2.22
Mo: 0.5222 0.3632 0.5695  3 N 2.15-2.16
Tl: 0.2699 0.4147 0.7494  4 Sc 3.04-3.07, 6 Tl 3.07-3.37, 2 Mo 3.10-3.11
N: 0.8442 0.3276 0.5000  2 Mo 2.15-2.16, 4 Sc 2.19-2.22
N: 0.5000 0.0000 0.5000  2 Mo 2.16, 4 Sc 2.21-2.22
N: 0.3276 0.8442 0.0000  2 Mo 2.15-2.16, 4 Sc 2.19-2.22
Sc: 0.8582 0.6943 0.5831  3 N 2.19-2.22
Sc: 0.3057 0.1418 0.9169  3 N 2.19-2.22
Sc: 0.8034 0.9748 0.4169  3 N 2.20-2.22
Tl: 0.4147 0.2699 0.2494  4 Sc 3.04-3.07, 6 Tl 3.07-3.37, 2 Mo 3.10-3.11
N: 0.1558 0.6724 0.5000  2 Mo 2.15-2.16, 4 Sc 2.19-2.22
N: 0.6724 0.1558 0.0000  2 Mo 2.15-2.16, 4 Sc 2.19-2.22
Sc: 0.1966 0.0252 0.5831  3 N 2.20-2.22
Mo: 0.4778 0.6368 0.4305  3 N 2.15-2.16
Mo: 0.3632 0.5222 0.0695  3 N 2.15-2.16
Tl: 0.7301 0.5853 0.2506  4 Sc 3.04-3.07, 6 Tl 3.07-3.37, 2 Mo 3.10-3.11
Tl: 0.1005 0.8995 0.2500  4 Sc 3.05-3.07, 6 Tl 3.09-3.37, 2 Mo 3.14
Sc: 0.9748 0.8034 0.9169  3 N 2.20-2.22
Tl: 0.8995 0.1005 0.7500  4 Sc 3.05-3.07, 6 Tl 3.09-3.37, 2 Mo 3.14
Sc: 0.1418 0.3057 0.4169  3 N 2.19-2.22

Properties
Symmetry: No. 15
Magnetic moment, μB/cell: 0.01



[12]
Below is an optimized crystal structure of Ni15Te, with properties calculated at the PBE level.

Lattice parameters (Å, degrees): 4.9592 3.5187 33.4315 90.00 90.01 90.00
Last column: nearest neighbours and their distance in Å.
Fractional coordinates of all 32 atoms:
Ni: 0.3751 0.5000 0.4815  12 Ni 2.46-2.48
Ni: 0.6248 0.0000 0.5920  12 Ni 2.46-2.48
Ni: 0.3754 0.5000 0.2591  9 Ni 2.44-2.51, 2 Te 2.63
Ni: 0.6250 0.0000 0.2244  5 Ni 2.43-2.44, 2 Te 2.50
Ni: 0.1250 0.0000 0.3710  12 Ni 2.46-2.48
Ni: 0.1253 0.0000 0.7410  9 Ni 2.44-2.51, 2 Te 2.62
Ni: 0.6257 0.0000 0.6659  12 Ni 2.47-2.51
Ni: 0.3743 0.5000 0.3342  12 Ni 2.47-2.51
Ni: 0.8750 0.5000 0.7027  11 Ni 2.46-2.50
Ni: 0.8749 0.5000 0.4815  12 Ni 2.46-2.48
Ni: 0.8757 0.5000 0.3342  12 Ni 2.47-2.51
Te: 0.8750 0.5000 0.7858  7 Ni 2.50-2.78
Ni: 0.3750 0.5000 0.7028  12 Ni 2.44-2.50
Te: 0.1250 0.0000 0.2141  7 Ni 2.50-2.78
Ni: 0.1250 0.0000 0.4448  12 Ni 2.46-2.48
Ni: 0.6250 0.0000 0.2973  12 Ni 2.43-2.50
Ni: 0.8750 0.5000 0.6290  12 Ni 2.46-2.48
Ni: 0.3750 0.5000 0.5553  12 Ni 2.46-2.48
Ni: 0.8750 0.5000 0.5551  12 Ni 2.46-2.48
Ni: 0.3750 0.5000 0.7757  5 Ni 2.44, 2 Te 2.50
Ni: 0.6247 0.0000 0.7410  9 Ni 2.44-2.51, 2 Te 2.62
Ni: 0.6250 0.0000 0.3711  12 Ni 2.46-2.48
Ni: 0.1250 0.0000 0.2973  11 Ni 2.46-2.50
Ni: 0.8748 0.5000 0.4080  12 Ni 2.46-2.48
Ni: 0.6249 0.0000 0.5184  12 Ni 2.46-2.48
Ni: 0.8747 0.5000 0.2591  9 Ni 2.44-2.51, 2 Te 2.63
Ni: 0.1251 0.0000 0.5184  12 Ni 2.46-2.48
Ni: 0.1252 0.0000 0.5920  12 Ni 2.46-2.48
Ni: 0.3750 0.5000 0.6289  12 Ni 2.46-2.48
Ni: 0.6250 0.0000 0.4446  12 Ni 2.46-2.48
Ni: 0.1243 0.0000 0.6658  12 Ni 2.47-2.51
Ni: 0.3752 0.5000 0.4080  12 Ni 2.46-2.48

Properties
Offset from the most stable computed form, meV per atom: 23
Symmetry: No. 11
Magnetic moment, μB/cell: 10.37



no.,raw total energy (eV/atom),V (A^3/atom)
1,-8.215,18.180
2,-4.224,26.361
3,-6.972,14.353
4,-5.042,17.822
5,-4.745,17.923
6,-8.571,10.477
7,-1.462,15.814
8,-5.733,23.275
9,-5.648,15.814
10,-4.920,17.669
11,-7.369,16.370
12,-5.376,18.230